SrTlOs4 | GGA-PBE | relaxed

The electronic total energy is -7.47 eV/atom. The value obtained for the volume is 111 Å³/f.u. The value obtained for the total magnetization is 0.00 μB per atom. Its calculated density is 15.75 g cm⁻³. The calculation puts the formation energy at 0.691 eV per atom.

Structure (POSCAR):
```
SrTlOs4
1.0
0.0000 3.8143 3.8143
3.8143 0.0000 3.8143
3.8143 3.8143 0.0000
Sr Tl Os
1 1 4
Cartesian
0.0000 0.0000 0.0000
5.7214 5.7214 5.7214
2.8645 2.8645 2.8645
4.7640 4.7640 2.8645
4.7640 2.8645 4.7640
2.8645 4.7640 4.7640
```